[1]
Na3SrTc after structural relaxation. Source: the Alexandria database, functional PBE-GGA.

Cell lengths 6.315, 6.315, 6.315 Å; angles 90.00, 90.00, 90.00 degrees
Fractional positions:
Na  0.000  0.000  0.500
Na  0.000  0.500  0.000
Na  0.500  0.000  0.000
Sr  0.000  0.000  0.000
Tc  0.500  0.500  0.500

Computed properties:
The crystal system is cubic. The formation energy from the elements comes out at 1663 meV/atom. The calculation puts the energy above the lowest structure with this stoichiometry at 684 meV/atom. Its symmetry is No. 221. The volume comes out at 251.89 Å³ per cell. The total energy is -1.54 eV per atom.

---

[2]
AcSbAu after structural relaxation. Source: the Alexandria database, functional PBE-GGA.

Cell lengths 4.706, 4.706, 4.617 Å; angles 90.00, 90.00, 120.00 degrees
Fractional positions:
Ac  0.000  0.000  0.000
Sb  0.667  0.333  0.529
Au  0.333  0.667  0.403

Computed properties:
The crystal system is trigonal. The calculation puts the energy above the lowest structure with this stoichiometry at 0 meV/atom. Its symmetry is No. 156. The volume comes out at 88.56 Å³ per cell. The total energy is -4.74 eV per atom. The calculation puts the uncorrected formation energy at -0.900 eV per atom.

---

[3]
TbPa3N6 after structural relaxation. Source: the Alexandria database, functional PBE-GGA.

Cell lengths 9.224, 3.569, 9.346 Å; angles 90.00, 104.86, 90.00 degrees
Fractional positions:
Tb  0.071  0.250  0.174
Tb  0.929  0.750  0.826
Pa  0.170  0.250  0.582
Pa  0.313  0.750  0.976
Pa  0.466  0.250  0.321
Pa  0.534  0.750  0.679
Pa  0.687  0.250  0.024
Pa  0.830  0.750  0.418
N  0.075  0.750  0.420
N  0.116  0.250  0.933
N  0.274  0.750  0.720
N  0.293  0.750  0.216
N  0.407  0.250  0.549
N  0.446  0.250  0.079
N  0.554  0.750  0.921
N  0.593  0.750  0.451
N  0.707  0.250  0.784
N  0.726  0.250  0.280
N  0.884  0.750  0.067
N  0.925  0.250  0.580

Computed properties:
The crystal system is monoclinic. The calculation puts the energy above the lowest structure with this stoichiometry at 0 meV/atom. Its symmetry is No. 11. The volume comes out at 297.35 Å³ per cell. The total energy is -9.96 eV per atom. The calculation puts the uncorrected formation energy at -1.653 eV per atom.

---

[4]
Th2Zn3Ga4Pt after structural relaxation. Source: the Alexandria database, functional PBE-GGA.

Cell lengths 4.303, 4.303, 10.395 Å; angles 90.00, 90.00, 90.00 degrees
Fractional positions:
Th  0.000  0.500  0.244
Th  0.500  0.000  0.756
Zn  0.000  0.000  0.000
Zn  0.000  0.500  0.634
Zn  0.500  0.000  0.366
Ga  0.000  0.000  0.500
Ga  0.000  0.500  0.869
Ga  0.500  0.000  0.131
Ga  0.500  0.500  0.500
Pt  0.500  0.500  0.000

Computed properties:
The crystal system is tetragonal. The formation energy from the elements comes out at -551 meV/atom. Its symmetry is No. 115. The volume comes out at 192.47 Å³ per cell. The total energy is -4.23 eV per atom.

---

[5]
HfSiH2 after structural relaxation. Source: the Alexandria database, functional PBE-GGA.

Cell lengths 3.856, 3.856, 3.856 Å; angles 60.00, 60.00, 60.00 degrees
Fractional positions:
Hf  0.000  0.000  0.000
Si  0.500  0.500  0.500
H  0.250  0.250  0.250
H  0.750  0.750  0.750

Computed properties:
The crystal system is cubic. The calculation puts the energy above the lowest structure with this stoichiometry at 300 meV/atom. Its symmetry is No. 225. The volume comes out at 40.55 Å³ per cell. The total energy is -5.31 eV per atom.

---

[6]
PPb after structural relaxation. Source: the Alexandria database, functional PBE-GGA.

Cell lengths 5.869, 5.869, 9.319 Å; angles 123.91, 123.91, 35.32 degrees
Fractional positions:
P  0.000  0.000  0.000
P  0.012  0.012  0.591
P  0.417  0.417  0.400
Pb  0.331  0.331  0.708
Pb  0.619  0.619  0.290
Pb  0.714  0.714  0.993

Computed properties:
The crystal system is monoclinic. The formation energy from the elements comes out at 178 meV/atom. Its symmetry is No. 8. The volume comes out at 150.44 Å³ per cell. The total energy is -4.38 eV per atom.

---

[7]
NaPaCr4S8 after structural relaxation. Source: the Alexandria database, functional PBE-GGA.

Cell lengths 7.495, 7.495, 7.495 Å; angles 58.44, 58.44, 58.44 degrees
Fractional positions:
Na  0.000  0.000  0.000
Pa  0.635  0.635  0.635
Cr  0.132  0.636  0.636
Cr  0.268  0.268  0.268
Cr  0.636  0.132  0.636
Cr  0.636  0.636  0.132
S  0.380  0.380  0.865
S  0.380  0.865  0.380
S  0.398  0.398  0.398
S  0.424  0.886  0.886
S  0.864  0.864  0.864
S  0.865  0.380  0.380
S  0.886  0.424  0.886
S  0.886  0.886  0.424

Computed properties:
The crystal system is trigonal. Its symmetry is No. 160. The volume comes out at 287.10 Å³ per cell. The total energy is -6.78 eV per atom. The calculation puts the uncorrected formation energy at -0.901 eV per atom.

---

[8]
MoPt5Rh2 after structural relaxation. Source: the Alexandria database, functional PBE-GGA.

Cell lengths 7.344, 7.344, 7.344 Å; angles 125.41, 125.41, 80.87 degrees
Fractional positions:
Mo  0.250  0.250  0.000
Mo  0.750  0.750  0.000
Pt  0.000  0.000  0.000
Pt  0.012  0.512  0.193
Pt  0.181  0.988  0.500
Pt  0.319  0.819  0.807
Pt  0.488  0.681  0.500
Pt  0.500  0.500  0.000
Pt  0.512  0.319  0.500
Pt  0.681  0.181  0.193
Pt  0.819  0.012  0.500
Pt  0.988  0.488  0.807
Rh  0.138  0.362  0.500
Rh  0.362  0.862  0.225
Rh  0.638  0.138  0.775
Rh  0.862  0.638  0.500

Computed properties:
The crystal system is tetragonal. The formation energy from the elements comes out at 58 meV/atom. Its symmetry is No. 140. The volume comes out at 253.65 Å³ per cell. The total energy is -6.91 eV per atom.

---

[9]
Mg2Zr2H after structural relaxation. Source: the Alexandria database, functional PBE-GGA.

Cell lengths 5.926, 5.926, 5.535 Å; angles 90.00, 90.00, 90.00 degrees
Fractional positions:
Mg  0.166  0.334  0.000
Mg  0.334  0.834  0.000
Mg  0.666  0.166  0.000
Mg  0.834  0.666  0.000
Zr  0.165  0.665  0.500
Zr  0.335  0.165  0.500
Zr  0.665  0.835  0.500
Zr  0.835  0.335  0.500
H  0.000  0.000  0.500
H  0.500  0.500  0.500

Computed properties:
The crystal system is tetragonal. The calculation puts the energy above the lowest structure with this stoichiometry at 0 meV/atom. Its symmetry is No. 127. The volume comes out at 194.37 Å³ per cell. The total energy is -4.70 eV per atom.

---

[10]
KTa2SbCl after structural relaxation. Source: the Alexandria database, functional PBE-GGA.

Cell lengths 4.649, 4.649, 5.405 Å; angles 90.00, 90.00, 90.00 degrees
Fractional positions:
K  0.000  0.000  0.000
Ta  0.000  0.500  0.500
Ta  0.500  0.000  0.500
Sb  0.500  0.500  0.000
Cl  0.000  0.000  0.500

Computed properties:
The crystal system is tetragonal. The calculation puts the energy above the lowest structure with this stoichiometry at 0 meV/atom. Its symmetry is No. 123. The volume comes out at 116.81 Å³ per cell. The total energy is -5.23 eV per atom. The calculation puts the uncorrected formation energy at 0.922 eV per atom.